Entry 1:
# TlCd2Os | Alexandria | PBE | optimized geometry
data_TlCd2Os
_cell_length_a 4.2012
_cell_length_b 4.2012
_cell_length_c 4.4260
_cell_angle_alpha 90.00
_cell_angle_beta 90.00
_cell_angle_gamma 90.00
_symmetry_space_group_name_H-M 'P 4/m m m'
_symmetry_Int_Tables_number 123
_symmetry_space_group_name_Hall '-P 4 2'
loop_
_atom_site_label
_atom_site_type_symbol
_atom_site_fract_x
_atom_site_fract_y
_atom_site_fract_z
Tl1 Tl 0.0000 0.0000 0.0000
Cd1 Cd 0.0000 0.5000 0.5000
Os1 Os 0.5000 0.5000 0.0000
# VASP energy = -3.182 eV/atom
# ΔH_f (0 K) = 675.1 meV per atom

Entry 2:
# Hf6Al2Re | Alexandria | PBE | optimized geometry
data_Hf6Al2Re
_cell_length_a 5.3562
_cell_length_b 7.9554
_cell_length_c 9.6983
_cell_angle_alpha 90.00
_cell_angle_beta 116.43
_cell_angle_gamma 90.00
_symmetry_space_group_name_H-M 'P 1 21/c 1'
_symmetry_Int_Tables_number 14
loop_
_symmetry_equiv_pos_as_xyz
'x,y,z'
'-x,-y,-z'
'-x,y+1/2,-z+1/2'
'x,-y+1/2,z+1/2'
loop_
_atom_site_label
_atom_site_type_symbol
_atom_site_fract_x
_atom_site_fract_y
_atom_site_fract_z
Hf1 Hf 0.0379 0.1699 0.4479
Hf2 Hf 0.3727 0.6823 0.4444
Hf3 Hf 0.3970 0.0341 0.2881
Al1 Al 0.1544 0.1150 0.7624
Re1 Re 0.0000 0.0000 0.0000
# VASP energy = -8.955 eV/atom
# ΔH_f (0 K) = -104.7 meV per atom

Entry 3:
# HgP2 | Alexandria | PBE | optimized geometry
data_HgP2
_cell_length_a 6.9419
_cell_length_b 6.9419
_cell_length_c 8.4288
_cell_angle_alpha 90.00
_cell_angle_beta 90.00
_cell_angle_gamma 120.00
_symmetry_space_group_name_H-M 'P 63/m m c'
_symmetry_Int_Tables_number 194
_symmetry_space_group_name_Hall '-P 6c 2c'
loop_
_atom_site_label
_atom_site_type_symbol
_atom_site_fract_x
_atom_site_fract_y
_atom_site_fract_z
Hg1 Hg 0.3333 0.6667 0.0504
P1 P 0.0000 0.0000 0.0000
P2 P 0.1057 0.2114 0.7500
# VASP energy = -3.422 eV/atom
# ΔH_f (0 K) = 285.2 meV per atom

Entry 4:
# Rb2SnIrC | Alexandria | PBE | optimized geometry
data_Rb2SnIrC
_cell_length_a 6.9841
_cell_length_b 6.9841
_cell_length_c 4.0887
_cell_angle_alpha 90.00
_cell_angle_beta 90.00
_cell_angle_gamma 90.00
_symmetry_space_group_name_H-M 'P 4/m m m'
_symmetry_Int_Tables_number 123
_symmetry_space_group_name_Hall '-P 4 2'
loop_
_atom_site_label
_atom_site_type_symbol
_atom_site_fract_x
_atom_site_fract_y
_atom_site_fract_z
Rb1 Rb 0.0000 0.5000 0.0000
Sn1 Sn 0.0000 0.0000 0.0000
Ir1 Ir 0.5000 0.5000 0.5000
C1 C 0.0000 0.0000 0.5000
# VASP energy = -3.197 eV/atom
# ΔH_f (0 K) = 1607.9 meV per atom

Entry 5:
# Zr2TcPd | Alexandria | PBE | optimized geometry
data_Zr2TcPd
_cell_length_a 4.2589
_cell_length_b 4.2589
_cell_length_c 17.9819
_cell_angle_alpha 90.00
_cell_angle_beta 90.00
_cell_angle_gamma 90.00
_symmetry_space_group_name_H-M 'I -4 2 d'
_symmetry_Int_Tables_number 122
_symmetry_space_group_name_Hall 'I -4 2bw'
loop_
_atom_site_label
_atom_site_type_symbol
_atom_site_fract_x
_atom_site_fract_y
_atom_site_fract_z
Zr1 Zr 0.2426 0.2500 0.1250
Tc1 Tc 0.0000 0.0000 0.0000
Pd1 Pd 0.0000 0.0000 0.5000
# VASP energy = -7.785 eV/atom
# ΔH_f (0 K) = 379.0 meV per atom

Entry 6:
# NaHf2Be | Alexandria | PBE | optimized geometry
data_NaHf2Be
_cell_length_a 4.0635
_cell_length_b 4.0635
_cell_length_c 20.7453
_cell_angle_alpha 90.00
_cell_angle_beta 90.00
_cell_angle_gamma 90.00
_symmetry_space_group_name_H-M 'I -4 2 d'
_symmetry_Int_Tables_number 122
_symmetry_space_group_name_Hall 'I -4 2bw'
loop_
_atom_site_label
_atom_site_type_symbol
_atom_site_fract_x
_atom_site_fract_y
_atom_site_fract_z
Na1 Na 0.0000 0.0000 0.0000
Hf1 Hf 0.2320 0.7500 0.6250
Be1 Be 0.0000 0.0000 0.5000
# VASP energy = -5.232 eV/atom
# ΔH_f (0 K) = 1006.2 meV per atom

Entry 7:
# Tb2YEr3S6 | Alexandria | PBE | optimized geometry
data_Tb2YEr3S6
_cell_length_a 16.9658
_cell_length_b 3.8834
_cell_length_c 7.8215
_cell_angle_alpha 90.00
_cell_angle_beta 103.61
_cell_angle_gamma 90.00
_symmetry_space_group_name_H-M 'C 1 2/m 1'
_symmetry_Int_Tables_number 12
loop_
_symmetry_equiv_pos_as_xyz
'x,y,z'
'-x,-y,-z'
'-x,y,-z'
'x,-y,z'
'x+1/2,y+1/2,z'
'-x+1/2,-y+1/2,-z'
'-x+1/2,y+1/2,-z'
'x+1/2,-y+1/2,z'
loop_
_atom_site_label
_atom_site_type_symbol
_atom_site_fract_x
_atom_site_fract_y
_atom_site_fract_z
Tb1 Tb 0.1669 0.0000 0.3337
Y1 Y 0.0000 0.5000 0.0000
Er1 Er 0.0000 0.5000 0.5000
Er2 Er 0.1669 0.0000 0.8327
S1 S 0.0013 0.0000 0.7472
S2 S 0.1652 0.5000 0.5866
S3 S 0.1677 0.5000 0.0794
# formation energy without anion corrections = -191 kJ per mole of atoms
# VASP energy = -6.496 eV/atom

Entry 8:
# U3Ni2P3 | Alexandria | PBE | optimized geometry
data_U3Ni2P3
_cell_length_a 3.6946
_cell_length_b 10.6142
_cell_length_c 12.8374
_cell_angle_alpha 90.00
_cell_angle_beta 90.00
_cell_angle_gamma 90.00
_symmetry_space_group_name_H-M 'C m c m'
_symmetry_Int_Tables_number 63
_symmetry_space_group_name_Hall '-C 2c 2'
loop_
_atom_site_label
_atom_site_type_symbol
_atom_site_fract_x
_atom_site_fract_y
_atom_site_fract_z
U1 U 0.0000 0.0537 0.1255
U2 U 0.0000 0.4255 0.2500
Ni1 Ni 0.0000 0.2210 0.5911
P1 P 0.0000 0.3062 0.7500
P2 P 0.0000 0.3764 0.0338
# VASP energy = -8.407 eV/atom
# ΔH_f (0 K) = -699.8 meV per atom

Entry 9:
# NdHo4Al | Alexandria | PBE | optimized geometry
data_NdHo4Al
_cell_length_a 3.5525
_cell_length_b 3.5525
_cell_length_c 13.9368
_cell_angle_alpha 90.00
_cell_angle_beta 90.00
_cell_angle_gamma 90.00
_symmetry_space_group_name_H-M 'P 4/m m m'
_symmetry_Int_Tables_number 123
_symmetry_space_group_name_Hall '-P 4 2'
loop_
_atom_site_label
_atom_site_type_symbol
_atom_site_fract_x
_atom_site_fract_y
_atom_site_fract_z
Nd1 Nd 0.0000 0.0000 0.0000
Ho1 Ho 0.0000 0.0000 0.3662
Ho2 Ho 0.5000 0.5000 0.1839
Al1 Al 0.5000 0.5000 0.5000
# VASP energy = -4.588 eV/atom
# ΔH_f (0 K) = -117.5 meV per atom

Entry 10:
# CoAu2Br2 | Alexandria | PBE | optimized geometry
data_CoAu2Br2
_cell_length_a 4.2398
_cell_length_b 4.2398
_cell_length_c 13.4143
_cell_angle_alpha 90.00
_cell_angle_beta 90.00
_cell_angle_gamma 90.00
_symmetry_space_group_name_H-M 'I 4/m m m'
_symmetry_Int_Tables_number 139
_symmetry_space_group_name_Hall '-I 4 2'
loop_
_atom_site_label
_atom_site_type_symbol
_atom_site_fract_x
_atom_site_fract_y
_atom_site_fract_z
Co1 Co 0.0000 0.0000 0.0000
Au1 Au 0.0000 0.0000 0.4038
Br1 Br 0.0000 0.5000 0.2500
# formation energy without anion corrections = 87 kJ per mole of atoms
# VASP energy = -2.500 eV/atom

Entry 11:
# CeYZr2N4 | Alexandria | PBE | optimized geometry
data_CeYZr2N4
_cell_length_a 4.7935
_cell_length_b 4.7935
_cell_length_c 9.5831
_cell_angle_alpha 90.00
_cell_angle_beta 90.00
_cell_angle_gamma 90.00
_symmetry_space_group_name_H-M 'I -4 m 2'
_symmetry_Int_Tables_number 119
_symmetry_space_group_name_Hall 'I -4 -2'
loop_
_atom_site_label
_atom_site_type_symbol
_atom_site_fract_x
_atom_site_fract_y
_atom_site_fract_z
Ce1 Ce 0.0000 0.0000 0.0000
Y1 Y 0.0000 0.5000 0.2500
Zr1 Zr 0.0000 0.0000 0.5000
Zr2 Zr 0.0000 0.5000 0.7500
N1 N 0.0000 0.0000 0.2559
N2 N 0.0000 0.5000 0.5062
# formation energy without anion corrections = -156 kJ per mole of atoms
# VASP energy = -9.470 eV/atom

Entry 12:
# Pm2PrNd6Tm | Alexandria | PBE | optimized geometry
data_Pm2PrNd6Tm
_cell_length_a 9.3064
_cell_length_b 15.4153
_cell_length_c 9.8373
_cell_angle_alpha 90.00
_cell_angle_beta 97.82
_cell_angle_gamma 90.00
_symmetry_space_group_name_H-M 'C 1 2/c 1'
_symmetry_Int_Tables_number 15
loop_
_symmetry_equiv_pos_as_xyz
'x,y,z'
'-x,-y,-z'
'-x,y,-z+1/2'
'x,-y,z+1/2'
'x+1/2,y+1/2,z'
'-x+1/2,-y+1/2,-z'
'-x+1/2,y+1/2,-z+1/2'
'x+1/2,-y+1/2,z+1/2'
loop_
_atom_site_label
_atom_site_type_symbol
_atom_site_fract_x
_atom_site_fract_y
_atom_site_fract_z
Pm1 Pm 0.2497 0.0499 0.0445
Pr1 Pr 0.0000 0.0211 0.7500
Nd1 Nd 0.0641 0.1845 0.4454
Nd2 Nd 0.0995 0.3936 0.6183
Nd3 Nd 0.2101 0.2216 0.8113
Tm1 Tm 0.0000 0.4098 0.2500
# VASP energy = -4.625 eV/atom
# ΔH_f (0 K) = 111.1 meV per atom

These records have calculated density values of 13.167; 11.766; 4.957; 4.112; 7.878; 7.543; 7.300; 12.197; 7.845; 8.438; 7.051; 6.961 g/cm3, in the order they appear.